# 1
First-principles (GGA-PBE) data for a relaxed BaTbEr4Se8 crystal, as listed in the Alexandria database.

The structure in POSCAR format:
```
BaTbEr4Se8
1.0
-3.8387 -3.8937 -6.5680
-1.6528 -8.3765 0.3719
-8.1037 -2.7254 0.7921
Se Er Tb Ba
8 4 1 1
direct
0.2348 0.2348 0.7284
0.7553 0.2296 0.2597
0.2317 0.2317 0.3049
0.7572 0.7572 0.7282
0.2296 0.7553 0.2597
0.8020 0.2348 0.7284
0.7553 0.7553 0.2597
0.2348 0.8020 0.7284
0.0015 0.0015 0.5017
0.0015 0.4953 0.5017
0.4953 0.0015 0.5017
0.6252 0.6252 0.1243
0.0020 0.0020 0.9941
0.3736 0.3736 0.8791
```

N(E_F) (states/eV per cell): 4.14
Energy relative to the elements, uncorrected (eV per atom): -1.76
Electronic total energy (eV/atom): -5.52

# 2
First-principles (GGA-PBE) data for a relaxed SrY2GaCl crystal, as listed in the Alexandria database.

The structure in POSCAR format:
```
SrY2GaCl
1.0
5.2512 0.0000 0.0000
0.0000 5.6066 0.0000
0.0000 0.0000 5.2512
Y Ga Sr Cl
2 1 1 1
direct
0.0000 0.0000 0.5000
0.5000 0.0000 0.0000
0.0000 0.5000 0.0000
0.5000 0.5000 0.5000
0.0000 0.0000 0.0000
```

N(E_F) (states/eV per cell): 5.97
Energy relative to the elements, uncorrected (eV per atom): -0.30
Electronic total energy (eV/atom): -4.20

# 3
First-principles (GGA-PBE) data for a relaxed YTl2Se crystal, as listed in the Alexandria database.

The structure in POSCAR format:
```
YTl2Se
1.0
6.3818 -0.0685 0.0206
2.9490 5.6601 -0.0206
-4.0657 -3.7965 3.1288
Se Y Tl
1 1 2
direct
0.2789 0.7789 0.5000
0.4662 0.4662 0.0000
0.7356 0.2356 0.5000
0.0193 0.0193 0.0000
```

N(E_F) (states/eV per cell): 2.19
Energy relative to the elements, uncorrected (eV per atom): -0.54
Electronic total energy (eV/atom): -4.21

# 4
First-principles (GGA-PBE) data for a relaxed MnPt2Au crystal, as listed in the Alexandria database.

The structure in POSCAR format:
```
MnPt2Au
1.0
-3.0616 2.0996 -2.5548
-0.5306 -1.1876 -4.3147
-3.7274 -2.1761 -1.2961
Pt Mn Au
2 1 1
direct
0.0000 0.0000 0.0000
0.7500 0.7500 0.7500
0.2500 0.2500 0.2500
0.5000 0.5000 0.5000
```

N(E_F) (states/eV per cell): 2.82
Electronic total energy (eV/atom): -6.21